Material: CsSnGe3
Method: DFT, PBE-GGA
State: relaxed

M_tot in μB/cell: 0.00
Crystal system: cubic
Density of states at the Fermi level in states/eV/f.u.: 5.0
Formation enthalpy at 0 K in eV/f.u.: 8.52
Polymorph energy (0 for the lowest one) in meV per atom: 1112

POSCAR file:
```
CsSnGe3
1.0
5.7173 0.0000 0.0000
0.0000 5.7173 0.0000
0.0000 0.0000 5.7173
Cs Sn Ge
1 1 3
Direct
0.0000 0.0000 0.0000
0.5000 0.5000 0.5000
0.0000 0.0000 0.5000
0.0000 0.5000 0.0000
0.5000 0.0000 0.0000
```

Material: TlAs3N
Method: DFT, PBE-GGA
State: relaxed

M_tot in μB/cell: 0.00
ΔE_f (raw) in meV per atom: 2416
Crystal system: cubic
Density of states at the Fermi level in states/eV/f.u.: 11.3
Polymorph energy (0 for the lowest one) in meV per atom: 1654

POSCAR file:
```
TlAs3N
1.0
5.2981 0.0000 0.0000
0.0000 5.2981 0.0000
0.0000 0.0000 5.2981
Tl As N
1 3 1
Direct
0.0000 0.0000 0.0000
0.0000 0.0000 0.5000
0.0000 0.5000 0.0000
0.5000 0.0000 0.0000
0.5000 0.5000 0.5000
```

Material: Pm11Nd4Tm9
Method: DFT, PBE-GGA
State: relaxed

M_tot in μB/cell: 0.00
Crystal system: orthorhombic
Density of states at the Fermi level in states/eV/f.u.: 29.8
Formation enthalpy at 0 K in eV/f.u.: 1.53

POSCAR file:
```
Pm11Nd4Tm9
1.0
8.4274 -12.7214 0.0000
8.4274 12.7214 0.0000
0.0000 0.0000 3.7038
Pm Nd Tm
11 4 9
Direct
0.0000 0.0000 0.0000
0.0442 0.4065 0.0000
0.1596 0.8404 0.0000
0.2888 0.2888 0.0000
0.3659 0.6341 0.0000
0.4065 0.0442 0.0000
0.5935 0.9558 0.0000
0.6341 0.3659 0.0000
0.7112 0.7112 0.0000
0.8404 0.1596 0.0000
0.9558 0.5935 0.0000
0.2444 0.4454 0.5000
0.4454 0.2444 0.5000
0.5546 0.7556 0.5000
0.7556 0.5546 0.5000
0.0649 0.2109 0.5000
0.1634 0.6342 0.5000
0.2109 0.0649 0.5000
0.3658 0.8366 0.5000
0.5000 0.5000 0.5000
0.6342 0.1634 0.5000
0.7891 0.9351 0.5000
0.8366 0.3658 0.5000
0.9351 0.7891 0.5000
```

Material: Sr4NiCl
Method: DFT, PBE-GGA
State: relaxed

M_tot in μB/cell: 0.05
ΔE_f (raw) in meV per atom: 507
Crystal system: cubic
Density of states at the Fermi level in states/eV/f.u.: 10.2

POSCAR file:
```
Sr4NiCl
1.0
0.0000 5.1636 5.1636
5.1636 0.0000 5.1636
5.1636 5.1636 0.0000
Sr Ni Cl
4 1 1
Direct
0.3759 0.3759 0.3759
0.3759 0.3759 0.8724
0.3759 0.8724 0.3759
0.8724 0.3759 0.3759
0.7500 0.7500 0.7500
0.0000 0.0000 0.0000
```